1.
Computed, not measured: crystalline Rb2VMo3O12 at its relaxed geometry at the PBE with a Hubbard U level of DFT.

Values from the calculation:
- Fermi-level density of states (states/eV/cell) = 3.78
- VASP energy (eV/cell) = -121.24
- symmetry = R-3m (166)

a b c (Å): 7.233 7.233 7.233
angles (deg): 61.24 61.24 61.24
Fractional coordinates of all 18 atoms:
Rb: 0.127 0.127 0.127
Rb: 0.873 0.873 0.873
V: 0.500 0.500 0.500
Mo: 0.000 0.500 0.500
Mo: 0.500 0.000 0.500
Mo: 0.500 0.500 0.000
O: 0.185 0.185 0.560
O: 0.185 0.560 0.185
O: 0.198 0.557 0.557
O: 0.440 0.815 0.815
O: 0.443 0.443 0.802
O: 0.443 0.802 0.443
O: 0.557 0.198 0.557
O: 0.557 0.557 0.198
O: 0.560 0.185 0.185
O: 0.802 0.443 0.443
O: 0.815 0.440 0.815
O: 0.815 0.815 0.440



2.
Computed, not measured: crystalline Rb2VMoO6 at its relaxed geometry at the PBE with a Hubbard U level of DFT.

Values from the calculation:
- Fermi-level density of states (states/eV/cell) = 1.50
- VASP energy (eV/cell) = -127.13
- symmetry = R-3m (166)

a b c (Å): 9.976 9.976 9.976
angles (deg): 34.49 34.49 34.49
Fractional coordinates of all 20 atoms:
Rb: 0.131 0.131 0.131
Rb: 0.281 0.281 0.281
Rb: 0.719 0.719 0.719
Rb: 0.869 0.869 0.869
V: 0.403 0.403 0.403
V: 0.597 0.597 0.597
Mo: 0.000 0.000 0.000
Mo: 0.500 0.500 0.500
O: 0.169 0.597 0.597
O: 0.212 0.212 0.693
O: 0.212 0.693 0.212
O: 0.307 0.788 0.788
O: 0.403 0.403 0.831
O: 0.403 0.831 0.403
O: 0.597 0.169 0.597
O: 0.597 0.597 0.169
O: 0.693 0.212 0.212
O: 0.788 0.307 0.788
O: 0.788 0.788 0.307
O: 0.831 0.403 0.403



3.
Computed, not measured: crystalline Rb3V2MoO8 at its relaxed geometry at the PBE with a Hubbard U level of DFT.

Values from the calculation:
- Fermi-level density of states (states/eV/cell) = 0.00
- VASP energy (eV/cell) = -91.92
- symmetry = P-3m1 (164)

a b c (Å): 5.945 5.945 7.926
angles (deg): 90.00 90.00 120.00
Fractional coordinates of all 14 atoms:
Rb: 0.000 0.000 0.000
Rb: 0.333 0.667 0.708
Rb: 0.667 0.333 0.292
V: 0.333 0.667 0.270
V: 0.667 0.333 0.730
Mo: 0.000 0.000 0.500
O: 0.171 0.342 0.343
O: 0.171 0.829 0.343
O: 0.333 0.667 0.058
O: 0.342 0.171 0.657
O: 0.658 0.829 0.343
O: 0.667 0.333 0.942
O: 0.829 0.171 0.657
O: 0.829 0.658 0.657



> Which value of Fermi-level density of states does entry 3 give?

0.00 states/eV/cell



> Which of these has the lowest Fermi-level density of states?

Rb3V2MoO8